The following is a DFT calculation (PBE) of a relaxed TaRe2Ag crystal.

The structure in extended XYZ format:
```
16
Lattice="7.328 0.000 0.000 0.000 7.328 0.000 0.000 0.000 5.371" Properties=species:S:1:pos:R:3 pbc="T T T"
Ta 0.000 0.000 0.000
Ta 0.000 3.664 1.343
Ta 3.664 0.000 4.029
Ta 3.664 3.664 2.686
Re 1.713 1.832 0.671
Re 1.832 5.377 2.014
Re 1.832 5.615 4.700
Re 1.951 1.832 3.357
Re 5.377 5.496 3.357
Re 5.496 1.713 4.700
Re 5.496 1.951 2.014
Re 5.615 5.496 0.671
Ag 0.000 0.000 2.686
Ag 0.000 3.664 4.029
Ag 3.664 0.000 1.343
Ag 3.664 3.664 0.000
```

size of the total moment	0.0	μB/cell
raw total energy	-8.80	eV per atom
energy relative to the lowest polymorph listed for this composition	83.2	kJ per mole of atoms
energy of formation	1.10	eV/atom
symmetry	I-42d (122)